# 1
Compound: YMgB
Source: Alexandria
Functional: PBE
Structure: optimized geometry

Computed properties:
* formation energy from the elements: 0.6241 eV/atom
* calculated total energy: -4.288 eV/atom
* energy above the lowest structure with this stoichiometry: 900.4 meV per atom
* spin magnetization: 0.0000 μB per atom

Cell lengths 4.078, 4.078, 9.936 Å; angles 90.00, 90.00, 120.00 degrees
Fractional positions:
1 Y 0.000 0.000 0.000
2 Y 0.000 0.000 0.500
3 Mg 0.333 0.667 0.250
4 Mg 0.667 0.333 0.750
5 B 0.000 0.000 0.250
6 B 0.000 0.000 0.750

***

# 2
Compound: BeAl2Hg
Source: Alexandria
Functional: PBE
Structure: optimized geometry

Computed properties:
* formation energy from the elements: 0.3534 eV/atom
* calculated total energy: -2.525 eV/atom
* energy above the lowest structure with this stoichiometry: 89.2 meV per atom
* spin magnetization: 0.0000 μB per atom

Cell lengths 4.964, 4.964, 4.964 Å; angles 132.13, 132.13, 70.02 degrees
Fractional positions:
1 Be 0.000 0.000 0.000
2 Al 0.500 0.500 0.000
3 Al 0.750 0.250 0.500
4 Hg 0.250 0.750 0.500

***

# 3
Compound: NaSiP
Source: Alexandria
Functional: PBE
Structure: optimized geometry

Computed properties:
* calculated total energy: -4.349 eV/atom
* spin magnetization: 0.0000 μB per atom

Cell lengths 8.195, 8.195, 4.333 Å; angles 90.00, 90.00, 155.13 degrees
Fractional positions:
1 Na 0.181 0.819 0.750
2 Na 0.819 0.181 0.250
3 Si 0.039 0.961 0.250
4 Si 0.961 0.039 0.750
5 P 0.372 0.628 0.750
6 P 0.628 0.372 0.250

***

# 4
Compound: GdTl2Ag
Source: Alexandria
Functional: PBE
Structure: optimized geometry

Computed properties:
* formation energy from the elements: -0.1205 eV/atom
* calculated total energy: -5.537 eV/atom
* energy above the lowest structure with this stoichiometry: 73.9 meV per atom
* spin magnetization: 1.8818 μB per atom

Cell lengths 3.597, 3.597, 7.684 Å; angles 90.00, 90.00, 90.00 degrees
Fractional positions:
1 Gd 0.000 0.000 0.000
2 Tl 0.500 0.500 0.275
3 Tl 0.500 0.500 0.725
4 Ag 0.000 0.000 0.500

***

# 5
Compound: Nd2Sm5Y5
Source: Alexandria
Functional: PBE
Structure: optimized geometry

Computed properties:
* formation energy from the elements: 0.0159 eV/atom
* calculated total energy: -5.438 eV/atom
* energy above the lowest structure with this stoichiometry: 0.0 meV per atom
* spin magnetization: 0.0000 μB per atom

Cell lengths 8.076, 8.076, 11.415 Å; angles 115.12, 115.12, 36.93 degrees
Fractional positions:
1 Nd 0.083 0.083 0.250
2 Nd 0.917 0.917 0.750
3 Sm 0.334 0.334 0.500
4 Sm 0.416 0.416 0.249
5 Sm 0.500 0.500 0.000
6 Sm 0.584 0.584 0.751
7 Sm 0.666 0.666 0.500
8 Y 0.000 0.000 0.500
9 Y 0.167 0.167 0.001
10 Y 0.250 0.250 0.750
11 Y 0.750 0.750 0.250
12 Y 0.833 0.833 0.999

***

# 6
Compound: PrZnCd4
Source: Alexandria
Functional: PBE
Structure: optimized geometry

Computed properties:
* formation energy from the elements: -0.2159 eV/atom
* calculated total energy: -1.835 eV/atom
* energy above the lowest structure with this stoichiometry: 0.0 meV per atom
* spin magnetization: 0.0000 μB per atom

Cell lengths 7.885, 4.538, 7.792 Å; angles 90.00, 90.00, 90.00 degrees
Fractional positions:
1 Pr 0.250 0.000 0.126
2 Pr 0.750 0.000 0.874
3 Zn 0.250 0.000 0.736
4 Zn 0.750 0.000 0.264
5 Cd 0.000 0.000 0.500
6 Cd 0.057 0.500 0.818
7 Cd 0.250 0.500 0.434
8 Cd 0.443 0.500 0.818
9 Cd 0.500 0.000 0.500
10 Cd 0.557 0.500 0.182
11 Cd 0.750 0.500 0.566
12 Cd 0.943 0.500 0.182

***

# 7
Compound: LiCa2Ga2
Source: Alexandria
Functional: PBE
Structure: optimized geometry

Computed properties:
* formation energy from the elements: -0.3256 eV/atom
* calculated total energy: -2.720 eV/atom
* energy above the lowest structure with this stoichiometry: 43.2 meV per atom
* spin magnetization: 0.0000 μB per atom

Cell lengths 7.904, 7.904, 4.122 Å; angles 90.00, 90.00, 90.00 degrees
Fractional positions:
1 Li 0.000 0.000 0.000
2 Li 0.500 0.500 0.000
3 Ca 0.173 0.327 0.500
4 Ca 0.327 0.827 0.500
5 Ca 0.673 0.173 0.500
6 Ca 0.827 0.673 0.500
7 Ga 0.123 0.623 0.000
8 Ga 0.377 0.123 0.000
9 Ga 0.623 0.877 0.000
10 Ga 0.877 0.377 0.000

***

# 8
Compound: PmScZnNi
Source: Alexandria
Functional: PBE
Structure: optimized geometry

Computed properties:
* formation energy from the elements: -0.2883 eV/atom
* calculated total energy: -4.823 eV/atom
* spin magnetization: 0.0000 μB per atom

Cell lengths 4.846, 4.846, 4.846 Å; angles 60.00, 60.00, 60.00 degrees
Fractional positions:
1 Pm 0.000 0.000 0.000
2 Sc 0.500 0.500 0.500
3 Zn 0.750 0.750 0.750
4 Ni 0.250 0.250 0.250

***

# 9
Compound: K5YS4
Source: Alexandria
Functional: PBE
Structure: optimized geometry

Computed properties:
* calculated total energy: -4.109 eV/atom
* spin magnetization: 0.0000 μB per atom

Cell lengths 9.809, 9.809, 9.809 Å; angles 153.85, 130.39, 56.93 degrees
Fractional positions:
1 K 0.000 0.000 0.000
2 K 0.081 0.328 0.753
3 K 0.424 0.672 0.753
4 K 0.576 0.328 0.247
5 K 0.919 0.672 0.247
6 Y 0.500 0.000 0.500
7 S 0.276 0.500 0.776
8 S 0.330 0.830 0.500
9 S 0.670 0.170 0.500
10 S 0.724 0.500 0.224

***

# 10
Compound: Gd2CuRu
Source: Alexandria
Functional: PBE
Structure: optimized geometry

Computed properties:
* formation energy from the elements: -0.2931 eV/atom
* calculated total energy: -10.677 eV/atom
* spin magnetization: 3.5864 μB per atom

Cell lengths 3.444, 3.444, 7.101 Å; angles 90.00, 90.00, 90.00 degrees
Fractional positions:
1 Gd 0.000 0.000 0.239
2 Gd 0.000 0.000 0.761
3 Cu 0.500 0.500 0.500
4 Ru 0.500 0.500 0.000

***

# 11
Compound: Ag2Au2Br7
Source: Alexandria
Functional: PBE
Structure: optimized geometry

Computed properties:
* calculated total energy: -2.325 eV/atom
* energy above the lowest structure with this stoichiometry: 5.2 meV per atom
* spin magnetization: 0.0000 μB per atom

Cell lengths 7.340, 7.340, 7.359 Å; angles 90.01, 90.01, 114.93 degrees
Fractional positions:
1 Ag 0.189 0.811 0.000
2 Ag 0.811 0.189 0.000
3 Au 0.225 0.225 0.698
4 Au 0.775 0.775 0.302
5 Br 0.050 0.451 0.751
6 Br 0.096 0.096 0.234
7 Br 0.451 0.050 0.751
8 Br 0.500 0.500 0.500
9 Br 0.549 0.950 0.249
10 Br 0.904 0.904 0.766
11 Br 0.950 0.549 0.249

***

# 12
Compound: YW
Source: Alexandria
Functional: PBE
Structure: optimized geometry

Computed properties:
* formation energy from the elements: 1.2707 eV/atom
* calculated total energy: -8.438 eV/atom
* energy above the lowest structure with this stoichiometry: 1022.9 meV per atom
* spin magnetization: 0.0001 μB per atom

Cell lengths 5.934, 5.934, 5.885 Å; angles 90.00, 90.00, 90.00 degrees
Fractional positions:
1 Y 0.185 0.185 0.000
2 Y 0.315 0.685 0.500
3 Y 0.685 0.315 0.500
4 Y 0.815 0.815 0.000
5 W 0.142 0.142 0.500
6 W 0.358 0.642 0.000
7 W 0.642 0.358 0.000
8 W 0.858 0.858 0.500

***

# 13
Compound: ZrCrRe2
Source: Alexandria
Functional: PBE
Structure: optimized geometry

Computed properties:
* formation energy from the elements: 0.0794 eV/atom
* calculated total energy: -10.688 eV/atom
* energy above the lowest structure with this stoichiometry: 99.8 meV per atom
* spin magnetization: 0.0006 μB per atom

Cell lengths 2.768, 4.385, 5.269 Å; angles 90.00, 100.26, 90.00 degrees
Fractional positions:
1 Zr 0.000 0.000 0.000
2 Cr 0.761 0.500 0.261
3 Re 0.245 0.500 0.722
4 Re 0.514 0.000 0.493